Entry 1:
The following is a DFT calculation (PBE) of a relaxed structure of La3Ho3In2.

- raw total energy (eV/atom) = -4.41
- space-group type = Cmcm (63)
- magnetic moment (μB/atom) = 0.00
- energy relative to the elements (eV per atom) = -0.165

a = 5.1802 Å, b = 6.5055 Å, c = 16.9296 Å
α = 90.00°, β = 90.00°, γ = 113.46°
Atoms (fractional coordinates):
Ho: 0.6338 0.2677 0.4548
La: 0.9492 0.8984 0.3969
In: 0.7593 0.5187 0.6209
La: 0.7147 0.4295 0.2500
Ho: 0.3662 0.7323 0.5452
In: 0.2407 0.4813 0.1209
Ho: 0.5666 0.1332 0.7500
In: 0.2407 0.4813 0.3791
Ho: 0.3662 0.7323 0.9548
La: 0.9492 0.8984 0.1031
In: 0.7593 0.5187 0.8791
Ho: 0.4334 0.8668 0.2500
La: 0.2853 0.5705 0.7500
Ho: 0.6338 0.2677 0.0452
La: 0.0508 0.1016 0.6031
La: 0.0508 0.1016 0.8969

***

Entry 2:
The following is a DFT calculation (PBE) of a relaxed structure of Mg2TaAlO6.

- raw total energy (eV/atom) = -7.43
- space-group type = P4mm (99)
- magnetic moment (μB/atom) = 0.00

a = 4.6740 Å, b = 5.1323 Å, c = 5.1323 Å
α = 90.00°, β = 90.00°, γ = 90.00°
Atoms (fractional coordinates):
O: 0.7301 0.7544 0.7544
O: 0.7301 0.7544 0.2456
Ta: 0.5907 0.5000 0.5000
O: 0.7301 0.2456 0.2456
O: 0.1978 0.5000 0.5000
O: 0.7301 0.2456 0.7544
Mg: 0.9607 0.0000 0.5000
Al: 0.5956 0.0000 0.0000
Mg: 0.9607 0.5000 0.0000
O: 0.2209 0.0000 0.0000

***

Entry 3:
The following is a DFT calculation (PBE) of a relaxed structure of BaIn4Ge4.

- raw total energy (eV/atom) = -3.53
- space-group type = P4_2/nmc (137)
- magnetic moment (μB/atom) = 0.00
- energy relative to the elements (eV per atom) = -0.048

a = 7.2929 Å, b = 7.2929 Å, c = 9.2283 Å
α = 90.00°, β = 90.00°, γ = 90.00°
Atoms (fractional coordinates):
Ge: 0.1901 0.5000 0.1708
In: 0.7559 0.5000 0.8687
Ge: 0.5000 0.8099 0.8292
In: 0.5000 0.2441 0.1313
Ge: 0.3099 0.0000 0.3292
Ge: 0.0000 0.6901 0.6708
Ge: 0.8099 0.5000 0.1708
In: 0.2559 0.0000 0.6313
In: 0.2441 0.5000 0.8687
In: 0.0000 0.7441 0.3687
Ba: 0.5000 0.5000 0.5000
Ge: 0.5000 0.1901 0.8292
In: 0.5000 0.7559 0.1313
Ge: 0.6901 0.0000 0.3292
Ge: 0.0000 0.3099 0.6708
Ba: 0.0000 0.0000 0.0000
In: 0.0000 0.2559 0.3687
In: 0.7441 0.0000 0.6313

***

Entry 4:
The following is a DFT calculation (PBE) of a relaxed structure of HfZrNb.

- raw total energy (eV/atom) = -9.35
- space-group type = P3m1 (156)
- magnetic moment (μB/atom) = 0.00
- energy relative to the elements (eV per atom) = 0.172

a = 3.1154 Å, b = 3.1154 Å, c = 7.6091 Å
α = 90.00°, β = 90.00°, γ = 120.00°
Atoms (fractional coordinates):
Hf: 0.6667 0.3333 0.3250
Nb: 0.0000 0.0000 0.0044
Zr: 0.3333 0.6667 0.6706

***

Entry 5:
The following is a DFT calculation (PBE) of a relaxed structure of Li17Cd12.

- raw total energy (eV/atom) = -1.68
- space-group type = I-43m (217)
- magnetic moment (μB/atom) = 0.00
- energy relative to the elements (eV per atom) = -0.183

a = 9.0743 Å, b = 9.0743 Å, c = 9.0743 Å
α = 109.47°, β = 109.47°, γ = 109.47°
Atoms (fractional coordinates):
Cd: 0.1917 0.3889 0.3889
Li: 0.0000 0.3549 0.0000
Li: 0.4131 0.7249 0.4131
Li: 0.0000 0.3117 0.5869
Cd: 0.0000 0.6111 0.8028
Li: 0.7249 0.4131 0.4131
Cd: 0.8028 0.0000 0.6111
Cd: 0.1972 0.1972 0.8083
Li: 0.3117 0.0000 0.5869
Li: 0.2751 0.6883 0.6883
Li: 0.3549 0.0000 0.0000
Li: 0.5869 0.0000 0.3117
Cd: 0.6111 0.0000 0.8028
Cd: 0.6111 0.8028 0.0000
Li: 0.6883 0.2751 0.6883
Li: 0.4131 0.4131 0.7249
Li: 0.0000 0.5869 0.3117
Li: 0.3117 0.5869 0.0000
Li: 0.5869 0.3117 0.0000
Cd: 0.8083 0.1972 0.1972
Cd: 0.3889 0.1917 0.3889
Li: 0.0000 0.0000 0.0000
Cd: 0.1972 0.8083 0.1972
Cd: 0.0000 0.8028 0.6111
Li: 0.6451 0.6451 0.6451
Li: 0.6883 0.6883 0.2751
Li: 0.0000 0.0000 0.3549
Cd: 0.8028 0.6111 0.0000
Cd: 0.3889 0.3889 0.1917

***

Entry 6:
The following is a DFT calculation (PBE) of a relaxed structure of AcPmNiPd.

- raw total energy (eV/atom) = -5.38
- space-group type = F-43m (216)
- magnetic moment (μB/atom) = 0.00
- energy relative to the elements (eV per atom) = -0.420

a = 5.1661 Å, b = 5.1661 Å, c = 5.1661 Å
α = 60.00°, β = 60.00°, γ = 60.00°
Atoms (fractional coordinates):
Ac: 0.5000 0.5000 0.5000
Pm: 0.0000 0.0000 0.0000
Pd: 0.7500 0.7500 0.7500
Ni: 0.2500 0.2500 0.2500

***

Entry 7:
The following is a DFT calculation (PBE) of a relaxed structure of Na2LaCo.

- raw total energy (eV/atom) = -3.30
- space-group type = I-42d (122)
- magnetic moment (μB/atom) = 0.00
- energy relative to the elements (eV per atom) = 0.369

a = 4.0118 Å, b = 4.0118 Å, c = 12.7662 Å
α = 80.96°, β = 80.96°, γ = 90.00°
Atoms (fractional coordinates):
Co: 0.2500 0.7500 0.5000
Na: 0.8750 0.8493 0.7500
Na: 0.1507 0.6250 0.2500
La: 0.7500 0.2500 0.5000
Na: 0.3750 0.4007 0.7500
Na: 0.5993 0.1250 0.2500
La: 0.0000 0.0000 0.0000
Co: 0.5000 0.5000 0.0000

***

Entry 8:
The following is a DFT calculation (PBE) of a relaxed structure of SbOsBr2.

- raw total energy (eV/atom) = -4.21
- space-group type = Immm (71)
- magnetic moment (μB/atom) = 0.06

a = 7.7848 Å, b = 7.7848 Å, c = 4.8551 Å
α = 71.85°, β = 71.85°, γ = 23.75°
Atoms (fractional coordinates):
Sb: 0.2500 0.2500 0.2500
Br: 0.3931 0.3931 0.6078
Os: 0.7500 0.7500 0.7500
Br: 0.1069 0.1069 0.8922

***

Entry 9:
The following is a DFT calculation (PBE) of a relaxed structure of Sr3MgU2P6.

- raw total energy (eV/atom) = -6.08
- space-group type = C2/m (12)
- magnetic moment (μB/atom) = 0.17
- energy relative to the elements (eV per atom) = -0.937

a = 7.1015 Å, b = 7.1015 Å, c = 7.2748 Å
α = 99.32°, β = 99.32°, γ = 120.00°
Atoms (fractional coordinates):
U: 0.3328 0.6672 0.0000
Mg: 0.0000 0.0000 0.0000
Sr: 0.8370 0.1630 0.5000
P: 0.5836 0.9295 0.7889
P: 0.4164 0.0705 0.2111
Sr: 0.1630 0.8370 0.5000
P: 0.2750 0.2750 0.7892
Sr: 0.5000 0.5000 0.5000
P: 0.7250 0.7250 0.2108
P: 0.9295 0.5836 0.7889
P: 0.0705 0.4164 0.2111
U: 0.6672 0.3328 0.0000

***

Entry 10:
The following is a DFT calculation (PBE) of a relaxed structure of CsTlIn4.

- raw total energy (eV/atom) = -2.36
- space-group type = F-43m (216)
- magnetic moment (μB/atom) = 0.00
- energy relative to the elements (eV per atom) = 0.006

a = 6.5489 Å, b = 6.5489 Å, c = 6.5489 Å
α = 60.00°, β = 60.00°, γ = 60.00°
Atoms (fractional coordinates):
Cs: 0.2500 0.2500 0.2500
In: 0.6259 0.1224 0.6259
In: 0.6259 0.6259 0.6259
In: 0.6259 0.6259 0.1224
In: 0.1224 0.6259 0.6259
Tl: 0.0000 0.0000 0.0000

***

Entry 11:
The following is a DFT calculation (PBE) of a relaxed structure of Hf2NiSn.

- raw total energy (eV/atom) = -7.10
- space-group type = R-3m (166)
- magnetic moment (μB/atom) = 0.00
- energy relative to the elements (eV per atom) = 0.322

a = 3.0794 Å, b = 3.0794 Å, c = 10.2287 Å
α = 81.34°, β = 81.34°, γ = 60.00°
Atoms (fractional coordinates):
Hf: 0.9187 0.9187 0.2438
Hf: 0.0813 0.0813 0.7562
Sn: 0.5000 0.5000 0.5000
Ni: 0.0000 0.0000 0.0000